Below is a relaxed structure of BaTm2CoO5, with properties calculated at the PBE with a Hubbard U level.

Values from the calculation:
* total moment: 0.3328 μB per atom
* symmetry: Immm (71)
* energy relative to the lowest polymorph listed for this composition: 23 meV/atom

Cell: 3.757 5.763 6.664 Å, 115.62 106.37 90.00°
Each line ends with the local moment (μB).
Element x y z (fractional)
Ba: 0.000 0.500 0.000  0.00
Tm: 0.204 0.204 0.408  0.02
Tm: 0.796 0.796 0.592  0.02
Co: 0.500 0.000 0.000  2.67
O: 0.653 0.913 0.306  0.05
O: 0.347 0.087 0.694  0.05
O: 0.347 0.606 0.694  0.05
O: 0.653 0.394 0.306  0.05
O: 0.000 0.000 0.000  0.09